First-principles (PBE-GGA) data for a geometry-optimized LiNd2Pd4 structure, as listed in the Alexandria database.

Values from the calculation:
**DOS at the Fermi energy**: 5.669 states/eV/cell
**ΔH_f (0 K)**: -0.518 eV/atom
**Total moment**: 0.00 μB/cell

Unit cell a=8.280 b=8.630 c=8.667 alpha=90.00 beta=90.00 gamma=90.00
Space group Fmmm (No. 69)
Symmetry-distinct sites (fractional):
1 Li 0.000 0.000 0.000
2 Nd 0.250 0.250 0.250
3 Pd 0.000 0.000 0.278
4 Pd 0.000 0.221 0.500

First-principles (PBE-GGA) data for a geometry-optimized Li2NdPd5 structure, as listed in the Alexandria database.

Values from the calculation:
**DOS at the Fermi energy**: 6.992 states/eV/cell
**ΔH_f (0 K)**: -0.464 eV/atom
**Offset from the most stable computed form**: 0 meV per atom
**Total moment**: 0.00 μB/cell

Unit cell a=6.767 b=6.767 c=5.968 alpha=90.00 beta=90.00 gamma=90.00
Space group I4/mmm (No. 139)
Symmetry-distinct sites (fractional):
1 Li 0.000 0.500 0.000
2 Nd 0.000 0.000 0.000
3 Pd 0.000 0.000 0.500
4 Pd 0.250 0.250 0.250

First-principles (PBE-GGA) data for a geometry-optimized Li2Nd3Pd5 structure, as listed in the Alexandria database.

Values from the calculation:
**DOS at the Fermi energy**: 8.392 states/eV/cell
**ΔH_f (0 K)**: -0.667 eV/atom
**Total moment**: 0.00 μB/cell

Unit cell a=10.090 b=10.090 c=3.807 alpha=90.00 beta=90.00 gamma=90.00
Space group P4/mbm (No. 127)
Symmetry-distinct sites (fractional):
1 Li 0.118 0.382 0.000
2 Nd 0.000 0.000 0.000
3 Nd 0.176 0.676 0.000
4 Pd 0.000 0.500 0.500
5 Pd 0.070 0.219 0.500

| no. | VASP energy (eV per atom) |
| --- | --- |
| 1 | -5.121 |
| 2 | -4.784 |
| 3 | -5.076 |